# Na2AuSe2 PBE relaxed
# final energy	-3.243	eV per atom
data_Na2AuSe2
_symmetry_space_group_name_H-M 'P 1'
_symmetry_Int_Tables_number 1
_symmetry_space_group_name_Hall 'P 1'
_cell_length_a 10.376
_cell_length_b 3.978
_cell_length_c 6.050
_cell_angle_alpha 90.00
_cell_angle_beta 104.27
_cell_angle_gamma 90.00
loop_
_atom_site_label
_atom_site_type_symbol
_atom_site_fract_x
_atom_site_fract_y
_atom_site_fract_z
Na1 Na 0.155 0.000 0.239
Na2 Na 0.345 0.500 0.761
Na3 Na 0.655 0.500 0.239
Na4 Na 0.845 0.000 0.761
Au1 Au 0.000 0.500 0.500
Au2 Au 0.500 0.000 0.500
Se1 Se 0.129 0.000 0.745
Se2 Se 0.371 0.500 0.255
Se3 Se 0.629 0.500 0.745
Se4 Se 0.871 0.000 0.255

---

# NaAuSe PBE relaxed
# final energy	-3.320	eV per atom
data_NaAuSe
_symmetry_space_group_name_H-M 'P 1'
_symmetry_Int_Tables_number 1
_symmetry_space_group_name_Hall 'P 1'
_cell_length_a 5.757
_cell_length_b 7.538
_cell_length_c 7.132
_cell_angle_alpha 90.00
_cell_angle_beta 90.00
_cell_angle_gamma 90.00
loop_
_atom_site_label
_atom_site_type_symbol
_atom_site_fract_x
_atom_site_fract_y
_atom_site_fract_z
Na1 Na 0.000 0.142 0.250
Na2 Na 0.000 0.858 0.750
Na3 Na 0.500 0.358 0.750
Na4 Na 0.500 0.642 0.250
Au1 Au 0.000 0.500 0.000
Au2 Au 0.000 0.500 0.500
Au3 Au 0.500 0.000 0.000
Au4 Au 0.500 0.000 0.500
Se1 Se 0.000 0.276 0.750
Se2 Se 0.000 0.724 0.250
Se3 Se 0.500 0.224 0.250
Se4 Se 0.500 0.776 0.750

---

# Na5AuSe3 PBE relaxed
# final energy	-3.040	eV per atom
data_Na5AuSe3
_symmetry_space_group_name_H-M 'P 1'
_symmetry_Int_Tables_number 1
_symmetry_space_group_name_Hall 'P 1'
_cell_length_a 5.236
_cell_length_b 5.236
_cell_length_c 10.347
_cell_angle_alpha 90.00
_cell_angle_beta 90.00
_cell_angle_gamma 90.00
loop_
_atom_site_label
_atom_site_type_symbol
_atom_site_fract_x
_atom_site_fract_y
_atom_site_fract_z
Na1 Na 0.000 0.000 0.000
Na2 Na 0.000 0.500 0.192
Na3 Na 0.000 0.500 0.808
Na4 Na 0.500 0.000 0.192
Na5 Na 0.500 0.000 0.808
Au1 Au 0.000 0.000 0.500
Se1 Se 0.000 0.000 0.267
Se2 Se 0.000 0.000 0.733
Se3 Se 0.500 0.500 0.000

---

# Na5AuSe12 PBE relaxed
# final energy	-3.379	eV per atom
data_Na5AuSe12
_symmetry_space_group_name_H-M 'P 1'
_symmetry_Int_Tables_number 1
_symmetry_space_group_name_Hall 'P 1'
_cell_length_a 7.175
_cell_length_b 16.861
_cell_length_c 8.336
_cell_angle_alpha 90.00
_cell_angle_beta 106.59
_cell_angle_gamma 90.00
loop_
_atom_site_label
_atom_site_type_symbol
_atom_site_fract_x
_atom_site_fract_y
_atom_site_fract_z
Na1 Na 0.123 0.000 0.105
Na2 Na 0.220 0.198 0.017
Na3 Na 0.220 0.781 0.349
Na4 Na 0.291 0.563 0.564
Na5 Na 0.334 0.377 0.285
Na6 Na 0.666 0.877 0.715
Na7 Na 0.709 0.063 0.436
Na8 Na 0.780 0.281 0.651
Na9 Na 0.780 0.698 0.983
Na10 Na 0.877 0.500 0.895
Au1 Au 0.215 0.787 0.842
Au2 Au 0.785 0.287 0.158
Se1 Se 0.005 0.850 0.573
Se2 Se 0.048 0.653 0.754
Se3 Se 0.049 0.591 0.217
Se4 Se 0.094 0.357 0.933
Se5 Se 0.155 0.978 0.563
Se6 Se 0.218 0.187 0.487
Se7 Se 0.314 0.590 0.098
Se8 Se 0.363 0.387 0.828
Se9 Se 0.388 0.919 0.918
Se10 Se 0.396 0.949 0.421
Se11 Se 0.430 0.725 0.110
Se12 Se 0.475 0.208 0.363
Se13 Se 0.525 0.708 0.637
Se14 Se 0.570 0.225 0.890
Se15 Se 0.604 0.449 0.579
Se16 Se 0.612 0.419 0.082
Se17 Se 0.637 0.887 0.172
Se18 Se 0.686 0.090 0.902
Se19 Se 0.782 0.687 0.513
Se20 Se 0.845 0.478 0.437
Se21 Se 0.906 0.857 0.067
Se22 Se 0.951 0.091 0.783
Se23 Se 0.952 0.153 0.246
Se24 Se 0.995 0.350 0.427

---

# NaSiAuSe3 PBE relaxed
# final energy	-3.742	eV per atom
data_NaSiAuSe3
_symmetry_space_group_name_H-M 'P 1'
_symmetry_Int_Tables_number 1
_symmetry_space_group_name_Hall 'P 1'
_cell_length_a 7.637
_cell_length_b 7.637
_cell_length_c 10.282
_cell_angle_alpha 90.00
_cell_angle_beta 90.00
_cell_angle_gamma 153.14
loop_
_atom_site_label
_atom_site_type_symbol
_atom_site_fract_x
_atom_site_fract_y
_atom_site_fract_z
Na1 Na 0.206 0.794 0.750
Na2 Na 0.794 0.206 0.250
Si1 Si 0.500 0.500 0.000
Si2 Si 0.500 0.500 0.500
Au1 Au 0.131 0.869 0.250
Au2 Au 0.869 0.131 0.750
Se1 Se 0.120 0.880 0.013
Se2 Se 0.120 0.880 0.487
Se3 Se 0.458 0.542 0.250
Se4 Se 0.542 0.458 0.750
Se5 Se 0.880 0.120 0.513
Se6 Se 0.880 0.120 0.987

---

# NaSiTeAuSe2 PBE relaxed
# final energy	-3.647	eV per atom
data_NaSiTeAuSe2
_symmetry_space_group_name_H-M 'P 1'
_symmetry_Int_Tables_number 1
_symmetry_space_group_name_Hall 'P 1'
_cell_length_a 7.877
_cell_length_b 7.877
_cell_length_c 10.819
_cell_angle_alpha 90.00
_cell_angle_beta 90.00
_cell_angle_gamma 154.02
loop_
_atom_site_label
_atom_site_type_symbol
_atom_site_fract_x
_atom_site_fract_y
_atom_site_fract_z
Na1 Na 0.220 0.780 0.750
Na2 Na 0.780 0.220 0.250
Si1 Si 0.500 0.500 0.000
Si2 Si 0.500 0.500 0.500
Te1 Te 0.450 0.550 0.250
Te2 Te 0.550 0.450 0.750
Au1 Au 0.124 0.876 0.250
Au2 Au 0.876 0.124 0.750
Se1 Se 0.119 0.881 0.023
Se2 Se 0.119 0.881 0.477
Se3 Se 0.881 0.119 0.523
Se4 Se 0.881 0.119 0.977

---

# NaSnAuSe3 PBE relaxed
# ΔE to the lowest computed polymorph	9	meV/atom
# final energy	-3.620	eV per atom
data_NaSnAuSe3
_symmetry_space_group_name_H-M 'P 1'
_symmetry_Int_Tables_number 1
_symmetry_space_group_name_Hall 'P 1'
_cell_length_a 14.008
_cell_length_b 4.067
_cell_length_c 11.128
_cell_angle_alpha 90.00
_cell_angle_beta 90.00
_cell_angle_gamma 90.00
loop_
_atom_site_label
_atom_site_type_symbol
_atom_site_fract_x
_atom_site_fract_y
_atom_site_fract_z
Na1 Na 0.232 0.250 0.033
Na2 Na 0.268 0.750 0.533
Na3 Na 0.732 0.250 0.467
Na4 Na 0.768 0.750 0.967
Sn1 Sn 0.007 0.250 0.659
Sn2 Sn 0.493 0.750 0.159
Sn3 Sn 0.507 0.250 0.841
Sn4 Sn 0.993 0.750 0.341
Au1 Au 0.071 0.750 0.956
Au2 Au 0.429 0.250 0.456
Au3 Au 0.571 0.750 0.544
Au4 Au 0.929 0.250 0.044
Se1 Se 0.109 0.250 0.452
Se2 Se 0.121 0.750 0.742
Se3 Se 0.122 0.750 0.167
Se4 Se 0.378 0.250 0.667
Se5 Se 0.379 0.250 0.242
Se6 Se 0.391 0.750 0.952
Se7 Se 0.609 0.250 0.048
Se8 Se 0.621 0.750 0.758
Se9 Se 0.622 0.750 0.333
Se10 Se 0.878 0.250 0.833
Se11 Se 0.879 0.250 0.258
Se12 Se 0.891 0.750 0.548

---

# NaSnAu3Se4 PBE relaxed
# ΔE to the lowest computed polymorph	135	meV/atom
# final energy	-3.318	eV per atom
data_NaSnAu3Se4
_symmetry_space_group_name_H-M 'P 1'
_symmetry_Int_Tables_number 1
_symmetry_space_group_name_Hall 'P 1'
_cell_length_a 6.400
_cell_length_b 6.400
_cell_length_c 6.400
_cell_angle_alpha 90.00
_cell_angle_beta 90.00
_cell_angle_gamma 90.00
loop_
_atom_site_label
_atom_site_type_symbol
_atom_site_fract_x
_atom_site_fract_y
_atom_site_fract_z
Na1 Na 0.000 0.000 0.000
Sn1 Sn 0.500 0.500 0.500
Au1 Au 0.000 0.500 0.500
Au2 Au 0.500 0.000 0.500
Au3 Au 0.500 0.500 0.000
Se1 Se 0.263 0.263 0.263
Se2 Se 0.263 0.737 0.737
Se3 Se 0.737 0.263 0.737
Se4 Se 0.737 0.737 0.263

---

# NaSnAuSe3 PBE relaxed
# ΔE to the lowest computed polymorph	0	meV/atom
# final energy	-3.629	eV per atom
data_NaSnAuSe3
_symmetry_space_group_name_H-M 'P 1'
_symmetry_Int_Tables_number 1
_symmetry_space_group_name_Hall 'P 1'
_cell_length_a 14.072
_cell_length_b 4.097
_cell_length_c 10.481
_cell_angle_alpha 90.00
_cell_angle_beta 90.00
_cell_angle_gamma 90.00
loop_
_atom_site_label
_atom_site_type_symbol
_atom_site_fract_x
_atom_site_fract_y
_atom_site_fract_z
Na1 Na 0.165 0.250 0.015
Na2 Na 0.335 0.750 0.515
Na3 Na 0.665 0.250 0.485
Na4 Na 0.835 0.750 0.985
Sn1 Sn 0.028 0.750 0.659
Sn2 Sn 0.472 0.250 0.159
Sn3 Sn 0.528 0.750 0.841
Sn4 Sn 0.972 0.250 0.341
Au1 Au 0.215 0.750 0.237
Au2 Au 0.285 0.250 0.737
Au3 Au 0.715 0.750 0.263
Au4 Au 0.785 0.250 0.763
Se1 Se 0.043 0.750 0.183
Se2 Se 0.115 0.250 0.513
Se3 Se 0.184 0.750 0.804
Se4 Se 0.316 0.250 0.304
Se5 Se 0.385 0.750 0.013
Se6 Se 0.457 0.250 0.683
Se7 Se 0.543 0.750 0.317
Se8 Se 0.615 0.250 0.987
Se9 Se 0.684 0.750 0.696
Se10 Se 0.816 0.250 0.196
Se11 Se 0.885 0.750 0.487
Se12 Se 0.957 0.250 0.817

---

# NaSnAuSe3 PBE relaxed
# ΔE to the lowest computed polymorph	3	meV/atom
# final energy	-3.626	eV per atom
data_NaSnAuSe3
_symmetry_space_group_name_H-M 'P 1'
_symmetry_Int_Tables_number 1
_symmetry_space_group_name_Hall 'P 1'
_cell_length_a 9.497
_cell_length_b 4.058
_cell_length_c 15.829
_cell_angle_alpha 90.00
_cell_angle_beta 90.00
_cell_angle_gamma 90.00
loop_
_atom_site_label
_atom_site_type_symbol
_atom_site_fract_x
_atom_site_fract_y
_atom_site_fract_z
Na1 Na 0.050 0.250 0.214
Na2 Na 0.450 0.750 0.714
Na3 Na 0.550 0.250 0.286
Na4 Na 0.950 0.750 0.786
Sn1 Sn 0.170 0.750 0.448
Sn2 Sn 0.330 0.250 0.948
Sn3 Sn 0.670 0.750 0.052
Sn4 Sn 0.830 0.250 0.552
Au1 Au 0.236 0.250 0.664
Au2 Au 0.264 0.750 0.164
Au3 Au 0.736 0.250 0.836
Au4 Au 0.764 0.750 0.336
Se1 Se 0.013 0.750 0.602
Se2 Se 0.161 0.250 0.812
Se3 Se 0.168 0.750 0.019
Se4 Se 0.332 0.250 0.519
Se5 Se 0.339 0.750 0.312
Se6 Se 0.487 0.250 0.102
Se7 Se 0.513 0.750 0.898
Se8 Se 0.661 0.250 0.688
Se9 Se 0.668 0.750 0.481
Se10 Se 0.832 0.250 0.981
Se11 Se 0.839 0.750 0.188
Se12 Se 0.987 0.250 0.398

---

# NaSnAuSe3 PBE relaxed
# ΔE to the lowest computed polymorph	9	meV/atom
# final energy	-3.620	eV per atom
data_NaSnAuSe3
_symmetry_space_group_name_H-M 'P 1'
_symmetry_Int_Tables_number 1
_symmetry_space_group_name_Hall 'P 1'
_cell_length_a 8.287
_cell_length_b 4.010
_cell_length_c 9.641
_cell_angle_alpha 90.00
_cell_angle_beta 104.21
_cell_angle_gamma 90.00
loop_
_atom_site_label
_atom_site_type_symbol
_atom_site_fract_x
_atom_site_fract_y
_atom_site_fract_z
Na1 Na 0.187 0.250 0.154
Na2 Na 0.813 0.750 0.846
Sn1 Sn 0.180 0.750 0.645
Sn2 Sn 0.820 0.250 0.355
Au1 Au 0.462 0.750 0.107
Au2 Au 0.538 0.250 0.893
Se1 Se 0.069 0.750 0.359
Se2 Se 0.197 0.750 0.924
Se3 Se 0.400 0.250 0.635
Se4 Se 0.600 0.750 0.365
Se5 Se 0.803 0.250 0.076
Se6 Se 0.931 0.250 0.641

---

# NaSnAu3Se4 PBE relaxed
# ΔE to the lowest computed polymorph	0	meV/atom
# final energy	-3.453	eV per atom
data_NaSnAu3Se4
_symmetry_space_group_name_H-M 'P 1'
_symmetry_Int_Tables_number 1
_symmetry_space_group_name_Hall 'P 1'
_cell_length_a 6.479
_cell_length_b 8.796
_cell_length_c 9.507
_cell_angle_alpha 90.00
_cell_angle_beta 102.04
_cell_angle_gamma 90.00
loop_
_atom_site_label
_atom_site_type_symbol
_atom_site_fract_x
_atom_site_fract_y
_atom_site_fract_z
Na1 Na 0.242 0.250 0.152
Na2 Na 0.758 0.750 0.848
Sn1 Sn 0.266 0.750 0.259
Sn2 Sn 0.734 0.250 0.741
Au1 Au 0.183 0.081 0.563
Au2 Au 0.183 0.419 0.563
Au3 Au 0.273 0.250 0.848
Au4 Au 0.727 0.750 0.152
Au5 Au 0.817 0.581 0.437
Au6 Au 0.817 0.919 0.437
Se1 Se 0.010 0.517 0.239
Se2 Se 0.010 0.983 0.239
Se3 Se 0.358 0.750 0.011
Se4 Se 0.459 0.250 0.490
Se5 Se 0.541 0.750 0.510
Se6 Se 0.642 0.250 0.989
Se7 Se 0.990 0.017 0.761
Se8 Se 0.990 0.483 0.761

---

Question: Which of these has the highest final energy?
Answer: Na5AuSe3

---

Question: The lowest final energy belongs to which entry?
Answer: NaSiAuSe3

---

Question: Which value of final energy does entry 7 give?
Answer: -3.620 eV per atom

---

Question: final energy of number 5 (NaSiAuSe3)?
Answer: -3.742 eV per atom